Material: Ac2AsH
Method: DFT, PBE-GGA
State: optimized geometry

Unit cell a=4.1784 b=4.1784 c=7.8238 alpha=74.51 beta=74.51 gamma=60.00
With the nearest neighbours (Å) after each atom.
Fractional coordinates of all 4 atoms:
Ac  0.0868  0.0868  0.7397  3 H 2.93, 3 As 3.07
Ac  0.2502  0.2502  0.2493  3 As 3.07, 3 H 3.12
As  0.6682  0.6682  0.9953  6 Ac 3.07
H  0.4948  0.4948  0.5157  6 Ac 2.93-3.12

Calculated values
- space-group type = No. 160
- total magnetic moment (μB/f.u.) = 0.0
- energy above the lowest structure with this stoichiometry (meV per atom) = 102



Material: PmHoS2O8
Method: DFT, PBE-GGA
State: optimized geometry

Unit cell a=5.6709 b=5.6709 c=6.4247 alpha=90.00 beta=90.00 gamma=120.00
With the nearest neighbours (Å) after each atom.
Fractional coordinates of all 12 atoms:
Pm  0.0000  0.0000  0.5000  6 O 2.56
Ho  0.0000  0.0000  0.0000  6 O 2.32
S  0.3333  0.6667  0.7017  4 O 1.46-1.52
S  0.6667  0.3333  0.2983  4 O 1.46-1.52
O  0.1865  0.3731  0.7779  1 S 1.52
O  0.1865  0.8134  0.7779  1 S 1.52
O  0.6269  0.8134  0.7779  1 S 1.52
O  0.3731  0.1866  0.2221  1 S 1.52
O  0.6667  0.3333  0.5259  1 S 1.46
O  0.3333  0.6667  0.4741  1 S 1.46
O  0.8135  0.6269  0.2221  1 S 1.52
O  0.8135  0.1866  0.2221  1 S 1.52

Calculated values
- space-group type = No. 164
- total magnetic moment (μB/f.u.) = 0.0
- formation energy from raw total energies (eV per atom) = -1.8394



Look up the total magnetic moment of the first one. 0.0 μB/f.u.



Which formula does entry 1 have? Ac2AsH



Number 1 is which compound? Ac2AsH